Entry 1:
Below is an optimized crystal structure of LaMnSCl2, with properties calculated at the GGA-PBE level.

Output
- density of states at the Fermi level (states/eV per cell) = 1.39
- crystal system = tetragonal

Cell: 5.573 5.573 5.546 Å, 90.00 90.00 90.00°
Last column: magnetic moment on the atom in μB.
Fractional coordinates of all 5 atoms:
Cl1 0.500 0.000 0.000  0.03
Mn1 0.500 0.500 0.500  4.88
S1 0.000 0.000 0.500  0.10
Cl2 0.000 0.500 0.000  0.03
La1 0.000 0.000 0.000  0.01

---

Entry 2:
Below is an optimized crystal structure of LaMnS2Cl, with properties calculated at the GGA-PBE level.

Output
- E above lowest polymorph (eV/atom) = 1.5575
- density of states at the Fermi level (states/eV per cell) = 2.68
- crystal system = tetragonal

Cell: 5.119 5.149 5.119 Å, 90.00 90.00 90.00°
Last column: magnetic moment on the atom in μB.
Fractional coordinates of all 5 atoms:
Mn1 0.500 0.500 0.500  4.35
S1 0.000 0.000 0.500  0.04
Cl1 0.000 0.000 0.000  0.00
La1 0.000 0.500 0.000  -0.06
S2 0.500 0.000 0.000  0.05

---

Entry 3:
Below is an optimized crystal structure of LaMnS2Cl, with properties calculated at the GGA-PBE level.

Output
- E above lowest polymorph (eV/atom) = 0.0000
- density of states at the Fermi level (states/eV per cell) = 2.33
- crystal system = tetragonal

Cell: 4.739 4.739 4.564 Å, 90.00 90.00 90.00°
Last column: magnetic moment on the atom in μB.
Fractional coordinates of all 5 atoms:
La1 0.500 0.500 0.500  0.10
S1 0.500 0.000 0.000  -0.02
S2 0.000 0.500 0.000  -0.02
Mn1 0.000 0.000 0.000  -3.41
Cl1 0.000 0.000 0.500  -0.03

---

Entry 4:
Below is an optimized crystal structure of LaMn2SnCl, with properties calculated at the GGA-PBE level.

Output
- density of states at the Fermi level (states/eV per cell) = 10.48
- crystal system = tetragonal

Cell: 4.366 5.356 4.366 Å, 90.00 90.00 90.00°
Fractional coordinates of all 5 atoms:
Cl1 0.000 0.000 0.000
Mn1 0.500 0.000 0.000
Mn2 0.000 0.000 0.500
La1 0.000 0.500 0.000
Sn1 0.500 0.500 0.500

---

Entry 5:
Below is an optimized crystal structure of LaMnTl2Cl8, with properties calculated at the GGA-PBE level.

Output
- crystal system = triclinic

Cell: 6.994 6.880 8.211 Å, 90.65 89.52 93.02°
Last column: magnetic moment on the atom in μB.
Fractional coordinates of all 12 atoms:
Mn1 0.000 0.000 0.000  3.66
Tl1 0.488 0.517 0.231  0.00
Cl1 0.717 0.831 0.996  0.01
Cl2 0.874 0.234 0.755  0.04
Tl2 0.512 0.483 0.769  0.00
Cl3 0.884 0.201 0.210  -0.01
Cl4 0.126 0.766 0.245  0.04
La1 0.000 0.000 0.500  0.00
Cl5 0.665 0.766 0.506  0.00
Cl6 0.116 0.799 0.790  -0.01
Cl7 0.283 0.169 0.004  0.01
Cl8 0.335 0.234 0.494  0.00

---

Entry 6:
Below is an optimized crystal structure of La2YMnCl, with properties calculated at the GGA-PBE level.

Output
- density of states at the Fermi level (states/eV per cell) = 4.96
- crystal system = tetragonal

Cell: 5.785 4.373 5.785 Å, 90.00 90.00 90.00°
Last column: magnetic moment on the atom in μB.
Fractional coordinates of all 5 atoms:
La1 0.000 0.000 0.500  0.21
La2 0.500 0.000 0.000  0.18
Y1 0.500 0.500 0.500  0.17
Cl1 0.000 0.500 0.000  -0.03
Mn1 0.000 0.000 0.000  -1.91

---

| no. | spin magnetization (μB/cell) | total DFT energy (no corrections) (eV/atom) | uncorrected formation energy (eV/atom) |
| --- | --- | --- | --- |
| 1 | 5.969 | -5.325 | -0.941 |
| 2 | 4.821 | -4.514 | 0.326 |
| 3 | 3.605 | -6.071 | -1.232 |
| 4 | 0.000 | -5.309 | 0.514 |
| 5 | 3.996 | -4.231 | -1.430 |
| 6 | 0.809 | -5.237 | 0.230 |